# VNi2P

A relaxed VNi2P crystal (PBE, Alexandria).

As for the space group: I-42d, No. 122. Its total moment is 0.0 μB per formula unit. Its formation energy is -102 meV per atom.

abc: 8.6328 8.6328 8.6328
angles: 156.82 156.82 33.02
Fractional positions:
1 V 0.0000 0.0000 0.0000
2 V 0.7500 0.2500 0.5000
3 Ni 0.1391 0.6250 0.0141
4 Ni 0.3750 0.3891 0.5141
5 Ni 0.6109 0.1250 0.9859
6 Ni 0.8750 0.8609 0.4859
7 P 0.2500 0.7500 0.5000
8 P 0.5000 0.5000 0.0000